PmGe3Pd3: relaxed, GGA-PBE.

```
PmGe3Pd3
1.0
8.4682 0.0000 0.0000
-4.2341 7.3337 0.0000
0.0000 0.0000 4.4548
Pm Ge Pd
2 6 6
direct
0.3333 0.6667 0.2500
0.6667 0.3333 0.7500
0.1055 0.3957 0.7500
0.2902 0.8945 0.7500
0.3957 0.2902 0.2500
0.6043 0.7098 0.7500
0.7098 0.1055 0.2500
0.8945 0.6043 0.2500
0.0745 0.2404 0.2500
0.1659 0.9255 0.2500
0.2404 0.1659 0.7500
0.7596 0.8341 0.2500
0.8341 0.0745 0.7500
0.9255 0.7596 0.7500
```

Computed properties:
DFT formation energy   -3.385 eV/f.u.
Space group   P6_3/m
Calculated volume   276.7 Å³ per cell
Energy relative to the lowest polymorph listed for this composition   0.00 eV/f.u.